## Pm6SiSb3 (GGA-PBE)

Data for Pm6SiSb3 after structural relaxation.

POSCAR file:
```
Pm6SiSb3
1.0
5.884 3.397 5.410
-5.884 3.397 5.410
0.000 -6.794 5.410
Pm Si Sb
12 2 6
Cartesian
-3.666 -2.766 9.099
-4.229 1.792 7.131
-1.431 -1.443 6.000
0.562 -4.558 7.131
-0.534 1.961 6.000
-1.965 0.518 10.230
1.965 -0.518 6.000
0.534 -1.961 10.230
-0.562 4.558 9.099
1.431 1.443 10.230
4.229 -1.792 9.099
3.666 2.766 7.131
0.000 0.000 0.000
0.000 0.000 8.115
-3.049 0.838 4.399
0.799 -3.060 4.399
-2.250 -2.222 11.831
2.250 2.222 4.399
-0.799 3.060 11.831
3.049 -0.838 11.831
```

Results
**Energy**: -5.289 eV/atom
**Total magnetic moment**: 0.000 μB per atom
**Calculated density**: 6.5 g/cm³
**Formation energy without anion corrections**: -0.660 eV per atom

***

## MnAsBr2 (GGA-PBE)

Data for MnAsBr2 after structural relaxation.

POSCAR file:
```
MnAsBr2
1.0
3.704 0.000 0.000
0.000 3.521 0.000
-1.707 0.000 7.916
Mn As Br
1 1 2
Cartesian
0.000 0.000 0.000
0.145 1.760 7.327
0.020 1.760 1.939
1.944 0.000 5.426
```

Results
**Energy**: -4.430 eV/atom
**Total magnetic moment**: 0.693 μB per atom
**E above lowest polymorph**: 0.090 eV/atom
**Calculated density**: 4.7 g/cm³
**Formation energy without anion corrections**: -0.138 eV per atom

***

- Among the records above, which one has the lowest total magnetic moment?
  Pm6SiSb3